TaCr2Sn, optimized geometry, DFT GGA-PBE; formation enthalpy at 0 K = 0.9694 eV/atom; space group = No. 122
1.0
-3.546 3.546 2.758
3.546 -3.546 2.758
3.546 3.546 -2.758
Ta Cr Sn
2 4 2
Direct
0.000 0.000 0.000
0.750 0.250 0.500
0.098 0.625 0.973
0.375 0.348 0.473
0.652 0.125 0.027
0.875 0.902 0.527
0.250 0.750 0.500
0.500 0.500 0.000



Tb4ThHg, optimized geometry, DFT GGA-PBE; formation enthalpy at 0 K = -0.0357 eV/atom; space group = No. 15; relative energy among the computed polymorphs = 9.7 kJ per mole of atoms
1.0
4.454 -7.024 0.000
4.454 7.024 0.000
-2.253 0.000 5.887
Tb Th Hg
8 2 2
Direct
0.081 0.707 0.941
0.186 0.387 0.643
0.293 0.919 0.559
0.387 0.186 0.143
0.613 0.814 0.857
0.707 0.081 0.441
0.814 0.613 0.357
0.919 0.293 0.059
0.391 0.609 0.250
0.609 0.391 0.750
0.001 0.999 0.250
0.999 0.001 0.750



BaCa3Pd, optimized geometry, DFT GGA-PBE; formation enthalpy at 0 K = -0.2934 eV/atom; space group = No. 4; relative energy among the computed polymorphs = 1.7 kJ per mole of atoms
1.0
6.869 0.000 0.000
0.000 7.624 0.000
-0.290 0.000 7.337
Ba Ca Pd
2 6 2
Direct
0.095 0.000 0.018
0.905 0.500 0.982
0.084 0.723 0.499
0.420 0.347 0.733
0.436 0.359 0.259
0.564 0.859 0.741
0.580 0.847 0.267
0.916 0.223 0.501
0.300 0.057 0.473
0.700 0.557 0.527



MnAl2Ag, optimized geometry, DFT GGA-PBE; formation enthalpy at 0 K = 0.0480 eV/atom; space group = No. 160; relative energy among the computed polymorphs = 20.1 kJ per mole of atoms
1.0
1.428 0.824 8.932
-1.428 0.824 8.932
0.000 -1.649 8.932
Mn Al Ag
1 2 1
Direct
0.000 0.000 0.000
0.257 0.257 0.257
0.505 0.505 0.505
0.753 0.753 0.753



RbPOsPb, optimized geometry, DFT GGA-PBE; formation enthalpy at 0 K = -0.1568 eV/atom; space group = No. 129
1.0
4.189 0.000 0.000
0.000 4.189 0.000
0.000 0.000 13.317
Rb P Os Pb
2 2 2 2
Direct
0.250 0.250 0.231
0.750 0.750 0.769
0.250 0.250 0.916
0.750 0.750 0.084
0.250 0.750 0.000
0.750 0.250 0.000
0.250 0.750 0.500
0.750 0.250 0.500



Ti4VTc, optimized geometry, DFT GGA-PBE; formation enthalpy at 0 K = 0.4141 eV/atom; space group = No. 12; relative energy among the computed polymorphs = 55.0 kJ per mole of atoms
1.0
3.017 -3.017 0.000
3.017 3.017 0.000
-0.009 0.000 5.951
Ti V Tc
4 1 1
Direct
0.000 0.500 0.248
0.000 0.500 0.752
0.500 0.000 0.248
0.500 0.000 0.752
0.000 0.000 0.000
0.500 0.500 0.500



BaSnTe3Pb, optimized geometry, DFT GGA-PBE; total DFT energy (no corrections) = -3.915 eV/atom; space group = No. 11
1.0
9.506 0.000 0.000
0.000 4.773 0.000
-2.685 0.000 11.151
Ba Sn Te Pb
2 2 6 2
Direct
0.184 0.250 0.202
0.816 0.750 0.798
0.150 0.250 0.623
0.850 0.750 0.377
0.097 0.250 0.887
0.170 0.750 0.448
0.447 0.750 0.168
0.553 0.250 0.832
0.830 0.250 0.552
0.903 0.750 0.113
0.337 0.750 0.896
0.663 0.250 0.104



KBiTe2Ru, optimized geometry, DFT GGA-PBE; total DFT energy (no corrections) = -3.773 eV/atom; space group = No. 123
1.0
5.171 0.000 0.000
0.000 5.171 0.000
0.000 0.000 5.701
K Bi Te Ru
1 1 2 1
Direct
0.000 0.000 0.000
0.500 0.500 0.000
0.000 0.500 0.500
0.500 0.000 0.500
0.000 0.000 0.500



La8Ga3HBr4, optimized geometry, DFT GGA-PBE; total DFT energy (no corrections) = -4.555 eV/atom; space group = No. 166
1.0
4.369 2.522 7.148
-4.369 2.522 7.148
0.000 -5.045 7.148
La Ga H Br
8 3 1 4
Direct
0.246 0.246 0.246
0.247 0.740 0.740
0.260 0.260 0.753
0.260 0.753 0.260
0.740 0.247 0.740
0.740 0.740 0.247
0.753 0.260 0.260
0.754 0.754 0.754
0.000 0.000 0.500
0.000 0.500 0.000
0.500 0.000 0.000
0.500 0.500 0.500
0.000 0.000 0.000
0.000 0.500 0.500
0.500 0.000 0.500
0.500 0.500 0.000



Sc2AgBi2, optimized geometry, DFT GGA-PBE; formation enthalpy at 0 K = -0.3060 eV/atom; space group = No. 127; relative energy among the computed polymorphs = 0.0 kJ per mole of atoms
1.0
7.992 0.000 0.000
0.000 7.992 0.000
0.000 0.000 3.983
Sc Ag Bi
4 2 4
Direct
0.150 0.350 0.000
0.350 0.850 0.000
0.650 0.150 0.000
0.850 0.650 0.000
0.000 0.000 0.500
0.500 0.500 0.500
0.156 0.656 0.500
0.344 0.156 0.500
0.656 0.844 0.500
0.844 0.344 0.500



NiAs2Pb, optimized geometry, DFT GGA-PBE; formation enthalpy at 0 K = 0.4131 eV/atom; space group = No. 123
1.0
4.039 0.000 0.000
0.000 4.039 0.000
0.000 0.000 4.879
Ni As Pb
1 2 1
Direct
0.000 0.000 0.000
0.000 0.500 0.500
0.500 0.000 0.500
0.500 0.500 0.000



BiTe2Au, optimized geometry, DFT GGA-PBE; total DFT energy (no corrections) = -3.402 eV/atom; space group = No. 160
1.0
2.117 1.222 7.498
-2.117 1.222 7.498
0.000 -2.444 7.498
Bi Te Au
1 2 1
Direct
0.000 0.000 0.000
0.236 0.236 0.236
0.425 0.425 0.425
0.833 0.833 0.833



AcZn2OsN4, optimized geometry, DFT GGA-PBE; total DFT energy (no corrections) = -6.464 eV/atom; space group = No. 23
1.0
-2.848 2.860 3.520
2.848 -2.860 3.520
2.848 2.860 -3.520
Ac Zn Os N
1 2 1 4
Direct
0.000 0.000 0.000
0.249 0.749 0.500
0.751 0.251 0.500
0.500 0.500 0.000
0.156 0.155 0.620
0.466 0.845 0.001
0.534 0.535 0.380
0.844 0.465 0.999



Rb3TbDy2O6, optimized geometry, DFT GGA-PBE; total DFT energy (no corrections) = -6.566 eV/atom; space group = No. 12
1.0
3.048 -5.279 0.000
3.048 5.279 0.000
-2.032 0.000 6.565
Rb Tb Dy O
3 1 2 6
Direct
0.000 0.000 0.000
0.333 0.667 0.000
0.667 0.333 0.000
0.500 0.500 0.500
0.167 0.833 0.500
0.833 0.167 0.500
0.107 0.442 0.324
0.224 0.224 0.675
0.442 0.107 0.324
0.558 0.893 0.676
0.776 0.776 0.325
0.893 0.558 0.676



CeCdPd2, optimized geometry, DFT GGA-PBE; formation enthalpy at 0 K = -0.5367 eV/atom; space group = No. 62
1.0
7.173 0.000 0.000
0.000 7.120 0.000
0.000 0.000 6.660
Ce Cd Pd
4 4 8
Direct
0.030 0.250 0.181
0.470 0.750 0.681
0.530 0.250 0.319
0.970 0.750 0.819
0.095 0.750 0.313
0.405 0.250 0.813
0.595 0.750 0.187
0.905 0.250 0.687
0.209 0.047 0.538
0.209 0.453 0.538
0.291 0.547 0.038
0.291 0.953 0.038
0.709 0.047 0.962
0.709 0.453 0.962
0.791 0.547 0.462
0.791 0.953 0.462



Be4Al5, optimized geometry, DFT GGA-PBE; formation enthalpy at 0 K = 0.3106 eV/atom; space group = No. 193
1.0
7.223 0.000 0.000
-3.611 6.255 0.000
0.000 0.000 5.183
Be Al
8 10
Direct
0.000 0.000 0.000
0.000 0.000 0.500
0.000 0.360 0.250
0.000 0.640 0.750
0.360 0.000 0.250
0.360 0.360 0.750
0.640 0.000 0.750
0.640 0.640 0.250
0.000 0.301 0.750
0.000 0.699 0.250
0.301 0.000 0.750
0.301 0.301 0.250
0.333 0.667 0.000
0.333 0.667 0.500
0.667 0.333 0.000
0.667 0.333 0.500
0.699 0.000 0.250
0.699 0.699 0.750



ScCd4Pd15, optimized geometry, DFT GGA-PBE; formation enthalpy at 0 K = -0.3598 eV/atom; space group = No. 123
1.0
4.023 0.000 0.000
0.000 4.023 0.000
0.000 0.000 20.175
Sc Cd Pd
1 4 15
Direct
0.000 0.000 0.000
0.000 0.000 0.200
0.000 0.000 0.400
0.000 0.000 0.600
0.000 0.000 0.800
0.000 0.500 0.098
0.000 0.500 0.300
0.000 0.500 0.500
0.000 0.500 0.700
0.000 0.500 0.902
0.500 0.000 0.098
0.500 0.000 0.300
0.500 0.000 0.500
0.500 0.000 0.700
0.500 0.000 0.902
0.500 0.500 0.000
0.500 0.500 0.199
0.500 0.500 0.400
0.500 0.500 0.600
0.500 0.500 0.801



Th3Si4Pd7, optimized geometry, DFT GGA-PBE; total DFT energy (no corrections) = -6.626 eV/atom; space group = No. 12
1.0
7.996 -2.063 0.000
7.996 2.063 0.000
-5.715 0.000 7.780
Th Si Pd
3 4 7
Direct
0.000 0.000 0.000
0.322 0.322 0.326
0.678 0.678 0.674
0.109 0.109 0.827
0.340 0.340 0.734
0.660 0.660 0.266
0.891 0.891 0.173
0.000 0.000 0.500
0.169 0.169 0.424
0.306 0.306 0.968
0.492 0.492 0.718
0.508 0.508 0.282
0.694 0.694 0.032
0.831 0.831 0.576



ZrTl2P, optimized geometry, DFT GGA-PBE; formation enthalpy at 0 K = 0.0692 eV/atom; space group = No. 65
1.0
2.821 -2.848 0.000
2.821 2.848 0.000
0.000 0.000 6.111
Zr Tl P
1 2 1
Direct
0.000 0.000 0.000
0.250 0.250 0.500
0.750 0.750 0.500
0.500 0.500 0.000



K2CaOs3O12, optimized geometry, DFT GGA-PBE; total DFT energy (no corrections) = -6.771 eV/atom; space group = No. 166
1.0
3.700 2.136 5.972
-3.700 2.136 5.972
0.000 -4.272 5.972
K Ca Os O
2 1 3 12
Direct
0.119 0.119 0.119
0.881 0.881 0.881
0.500 0.500 0.500
0.000 0.500 0.500
0.500 0.000 0.500
0.500 0.500 0.000
0.117 0.594 0.594
0.202 0.202 0.584
0.202 0.584 0.202
0.406 0.406 0.883
0.406 0.883 0.406
0.416 0.798 0.798
0.584 0.202 0.202
0.594 0.117 0.594
0.594 0.594 0.117
0.798 0.416 0.798
0.798 0.798 0.416
0.883 0.406 0.406



Np2ScTl3Se6, optimized geometry, DFT GGA-PBE; total DFT energy (no corrections) = -6.026 eV/atom; space group = No. 12
1.0
3.586 -6.202 0.000
3.586 6.202 0.000
-2.387 0.000 7.770
Np Sc Tl Se
2 1 3 6
Direct
0.166 0.834 0.000
0.834 0.166 0.000
0.500 0.500 0.000
0.000 0.000 0.500
0.331 0.669 0.500
0.669 0.331 0.500
0.113 0.434 0.801
0.247 0.247 0.203
0.434 0.113 0.801
0.566 0.887 0.199
0.753 0.753 0.797
0.887 0.566 0.199



ZrVCr, optimized geometry, DFT GGA-PBE; formation enthalpy at 0 K = -0.0267 eV/atom; space group = No. 74; relative energy among the computed polymorphs = 0.0 kJ per mole of atoms
1.0
-2.501 2.633 3.616
2.501 -2.633 3.616
2.501 2.633 -3.616
Zr V Cr
2 2 2
Direct
0.373 0.123 0.250
0.627 0.877 0.750
0.000 0.500 0.500
0.500 0.500 0.000
0.000 0.000 0.500
0.000 0.500 0.000